This record from Alexandria describes an optimized crystal structure of YThCo. The functional is GGA-PBE.

Unit cell a=16.4864 b=16.4864 c=5.8262 alpha=90.00 beta=90.00 gamma=120.00
Space group R-3 (No. 148, hexagonal axes)
Unique sites:
Y  0.0144  0.1347  0.2464 x18
Th  0.0129  0.4432  0.2649 x18
Co  0.0030  0.5927  0.2468 x18

Results
energy relative to the elements	-0.1270	eV/atom
calculated density	8.3	g/cm³
energy above the most stable polymorph in this dataset	54	meV/atom

=====

This record from Alexandria describes an optimized crystal structure of YThCo. The functional is GGA-PBE.

Unit cell a=6.7587 b=6.7587 c=6.7587 alpha=90.00 beta=90.00 gamma=90.00
Space group F-43m (No. 216)
Unique sites:
Y  0.0000  0.0000  0.0000 x4
Th  0.0000  0.0000  0.5000 x4
Co  0.2500  0.2500  0.7500 x4

Results
energy relative to the elements	0.0069	eV/atom
calculated density	8.2	g/cm³
energy above the most stable polymorph in this dataset	188	meV/atom

=====

This record from Alexandria describes an optimized crystal structure of ThZnCo4. The functional is GGA-PBE.

Unit cell a=3.8977 b=15.5161 c=5.8747 alpha=90.00 beta=90.00 gamma=90.00
Space group Cmcm (No. 63)
Unique sites:
Th  0.0000  0.1024  0.2500 x4
Zn  0.0000  0.2341  0.7500 x4
Co  0.0000  0.0783  0.7500 x4
Co  0.0000  0.3430  0.0581 x8
Co  0.0000  0.5000  0.0000 x4

Results
energy relative to the elements	0.0207	eV/atom
calculated density	10.0	g/cm³

=====

This record from Alexandria describes an optimized crystal structure of Th2ZnCo6. The functional is GGA-PBE.

Unit cell a=5.2256 b=5.2256 c=5.8616 alpha=90.00 beta=90.00 gamma=120.00
Space group P-3m1 (No. 164)
Unique sites:
Th  0.3333  0.6667  0.1860 x2
Zn  0.0000  0.0000  0.0000 x1
Co  0.1735  0.3470  0.6629 x6

Results
energy relative to the elements	-0.1129	eV/atom
calculated density	10.6	g/cm³

=====

Question: Which formula does entry 4 have?
Answer: Th2ZnCo6